Entry 1:
Here is a geometry-optimized KYSeBr2 structure from Alexandria via LeMat-Bulk. Energies are from PBE.

abc: 5.4398 5.4398 5.8914
angles: 90.00 90.00 90.00
Last column: nearest neighbours and their distance in Å.
Atoms (fractional coordinates):
Br 0.0000 0.5000 0.0000  2 K 2.72
K 0.0000 0.0000 0.0000  4 Br 2.72, 2 Se 2.95
Se 0.0000 0.0000 0.5000  2 K 2.95
Y 0.5000 0.5000 0.5000  4 Se 3.85, 8 Br 4.01
Br 0.5000 0.0000 0.0000  2 K 2.72

Results
Polymorph energy (0 for the lowest one): 123.76 kJ/mol of atoms
Uncorrected formation energy: -0.392 eV/atom

***

Entry 2:
Here is a geometry-optimized KZnSeBr2 structure from Alexandria via LeMat-Bulk. Energies are from PBE.

abc: 6.2132 6.2132 6.3570
angles: 90.00 90.00 90.00
Last column: nearest neighbours and their distance in Å.
Atoms (fractional coordinates):
K 0.0000 0.0000 0.0000  4 Br 3.11, 2 Se 3.18
Br 0.0000 0.5000 0.0000  2 K 3.11
Se 0.0000 0.0000 0.5000  2 K 3.18
Zn 0.5000 0.5000 0.5000  4 Se 4.39, 8 Br 4.44
Br 0.5000 0.0000 0.0000  2 K 3.11

Results
Polymorph energy (0 for the lowest one): 90.62 kJ/mol of atoms
Uncorrected formation energy: 0.191 eV/atom

***

Entry 3:
Here is a geometry-optimized KZnSe2Br structure from Alexandria via LeMat-Bulk. Energies are from PBE.

abc: 4.8903 4.8903 6.0574
angles: 90.00 90.00 90.00
Last column: nearest neighbours and their distance in Å.
Atoms (fractional coordinates):
Zn 0.0000 0.0000 0.0000  4 Se 2.45
Se 0.0000 0.5000 0.0000  2 Zn 2.45
Br 0.0000 0.0000 0.5000  2 Zn 3.03
K 0.5000 0.5000 0.5000  4 Br 3.46
Se 0.5000 0.0000 0.0000  2 Zn 2.45

Results
Polymorph energy (0 for the lowest one): 0.00 kJ/mol of atoms
Uncorrected formation energy: -0.490 eV/atom

***

Entry 4:
Here is a geometry-optimized KZnSe2Br structure from Alexandria via LeMat-Bulk. Energies are from PBE.

abc: 6.3728 6.3728 6.0905
angles: 90.00 90.00 90.00
Last column: nearest neighbours and their distance in Å.
Atoms (fractional coordinates):
Zn 0.5000 0.5000 0.5000  8 Se 4.41, 4 Br 4.51
K 0.0000 0.0000 0.0000  2 Br 3.05, 4 Se 3.19
Br 0.0000 0.0000 0.5000  2 K 3.05
Se 0.5000 0.0000 0.0000  2 K 3.19
Se 0.0000 0.5000 0.0000  2 K 3.19

Results
Polymorph energy (0 for the lowest one): 98.24 kJ/mol of atoms
Uncorrected formation energy: 0.528 eV/atom

***

Entry 5:
Here is a geometry-optimized KZnSeBr2 structure from Alexandria via LeMat-Bulk. Energies are from PBE.

abc: 5.4940 5.4940 4.9217
angles: 90.00 90.00 90.00
Last column: nearest neighbours and their distance in Å.
Atoms (fractional coordinates):
Se 0.0000 0.0000 0.5000  2 Zn 2.46
Br 0.0000 0.5000 0.0000  2 Zn 2.75
Br 0.5000 0.0000 0.0000  2 Zn 2.75
K 0.5000 0.5000 0.5000  8 Br 3.69, 4 Se 3.88
Zn 0.0000 0.0000 0.0000  2 Se 2.46, 4 Br 2.75

Results
Polymorph energy (0 for the lowest one): 0.00 kJ/mol of atoms
Uncorrected formation energy: -0.748 eV/atom

***

Entry 6:
Here is a geometry-optimized KZrSe2Br structure from Alexandria via LeMat-Bulk. Energies are from PBE.

abc: 5.4702 5.4702 5.3486
angles: 90.00 90.00 90.00
Last column: nearest neighbours and their distance in Å.
Atoms (fractional coordinates):
K 0.0000 0.0000 0.0000  2 Br 2.67, 4 Se 2.74
Br 0.0000 0.0000 0.5000  2 K 2.67
Se 0.5000 0.0000 0.0000  2 K 2.74
Zr 0.5000 0.5000 0.5000  8 Se 3.83, 4 Br 3.87
Se 0.0000 0.5000 0.0000  2 K 2.74

Results
Polymorph energy (0 for the lowest one): 185.90 kJ/mol of atoms
Uncorrected formation energy: 0.670 eV/atom

***

Entry 7:
Here is a geometry-optimized KZrSe2Br structure from Alexandria via LeMat-Bulk. Energies are from PBE.

abc: 5.2623 5.2623 5.5170
angles: 90.00 90.00 90.00
Last column: nearest neighbours and their distance in Å.
Atoms (fractional coordinates):
Zr 0.0000 0.0000 0.0000  4 Se 2.63, 2 Br 2.76
K 0.5000 0.5000 0.5000  4 Br 3.72, 8 Se 3.81
Se 0.0000 0.5000 0.0000  2 Zr 2.63
Br 0.0000 0.0000 0.5000  2 Zr 2.76
Se 0.5000 0.0000 0.0000  2 Zr 2.63

Results
Polymorph energy (0 for the lowest one): 0.00 kJ/mol of atoms
Uncorrected formation energy: -1.256 eV/atom

***

Entry 8:
Here is a geometry-optimized KSiBr structure from Alexandria via LeMat-Bulk. Energies are from PBE.

abc: 5.4438 5.4438 5.4438
angles: 60.00 60.00 60.00
Last column: nearest neighbours and their distance in Å.
Atoms (fractional coordinates):
K 0.0000 0.0000 0.0000  4 Br 3.33
Br 0.7500 0.7500 0.7500  4 Si 3.33, 4 K 3.33
Si 0.5000 0.5000 0.5000  4 Br 3.33

Results
Polymorph energy (0 for the lowest one): 29.62 kJ/mol of atoms
Uncorrected formation energy: 0.262 eV/atom

***

Entry 9:
Here is a geometry-optimized KSiBr structure from Alexandria via LeMat-Bulk. Energies are from PBE.

abc: 5.2736 5.2736 3.5895
angles: 90.00 90.00 120.00
Last column: nearest neighbours and their distance in Å.
Atoms (fractional coordinates):
Si 0.3333 0.6667 0.8344  3 Br 3.04
K 0.6667 0.3333 0.3331  6 Si 3.53-3.54, 6 Br 3.53-3.54, 2 K 3.59
Br 0.0000 0.0000 0.8324  3 Si 3.04

Results
Polymorph energy (0 for the lowest one): 13.10 kJ/mol of atoms
Uncorrected formation energy: 0.091 eV/atom

***

Entry 10:
Here is a geometry-optimized K2SiBr structure from Alexandria via LeMat-Bulk. Energies are from PBE.

abc: 4.1629 4.1629 9.8335
angles: 78.14 78.14 59.28
Last column: nearest neighbours and their distance in Å.
Atoms (fractional coordinates):
K 0.0085 0.0085 0.9766  3 Br 3.23, 3 Si 3.54-3.55
K 0.4915 0.4915 0.5234  3 Br 3.23, 3 Si 3.54-3.55
Br 0.7500 0.7500 0.7500  6 K 3.23
Si 0.2500 0.2500 0.2500  6 K 3.54-3.55

Results
Polymorph energy (0 for the lowest one): 6.43 kJ/mol of atoms
Uncorrected formation energy: -0.338 eV/atom

***

Entry 11:
Here is a geometry-optimized KSiBr2 structure from Alexandria via LeMat-Bulk. Energies are from PBE.

abc: 6.0201 6.0201 6.0201
angles: 139.37 113.41 81.02
Last column: nearest neighbours and their distance in Å.
Atoms (fractional coordinates):
Br 0.5467 0.5467 0.0000  2 Si 2.80
Br 0.9533 0.9533 0.0000  2 Si 2.80
K 0.2500 0.7500 0.5000  8 Br 3.43-3.79
Si 0.7500 0.2500 0.5000  4 Br 2.80

Results
Polymorph energy (0 for the lowest one): 10.54 kJ/mol of atoms
Uncorrected formation energy: -0.512 eV/atom

***

Entry 12:
Here is a geometry-optimized KSiBr2 structure from Alexandria via LeMat-Bulk. Energies are from PBE.

abc: 4.6547 4.6547 8.3571
angles: 90.00 90.00 124.27
Last column: nearest neighbours and their distance in Å.
Atoms (fractional coordinates):
Br 0.0000 0.0000 0.5255  2 Si 2.87, 2 K 3.17
Br 0.0000 0.0000 0.9745  2 Si 2.87, 2 K 3.17
K 0.5000 0.5000 0.2500  4 Br 3.17
Si 0.5000 0.5000 0.7500  4 Br 2.87

Results
Polymorph energy (0 for the lowest one): 22.11 kJ/mol of atoms
Uncorrected formation energy: -0.393 eV/atom